(1)
# K2SnTeS5, optimized geometry, DFT PBE
# Magnetic moment, μB/f.u.: 0.0
# Symmetry: No. 36
# Total DFT energy (no corrections), eV per cell: -70.839
data_K2SnTeS5
_chemical_formula_sum 'K4 Sn2 Te2 S10'
_cell_length_a 3.947
_cell_length_b 9.764
_cell_length_c 13.958
_cell_angle_alpha 90.00
_cell_angle_beta 90.00
_cell_angle_gamma 101.66
_space_group_name_H-M_alt 'P 1'
_space_group_IT_number 1
_space_group_name_Hall 'P 1'
loop_
_atom_site_label
_atom_site_type_symbol
_atom_site_fract_x
_atom_site_fract_y
_atom_site_fract_z
Te1 Te 0.777 0.554 0.538
K1 K 0.106 0.211 0.668
K2 K 0.868 0.736 0.814
Sn1 Sn 0.563 0.126 0.928
S1 S 0.312 0.623 0.396
S2 S 0.659 0.318 0.497
K3 K 0.132 0.264 0.314
S3 S 0.274 0.548 0.663
S4 S 0.957 0.915 0.535
Te2 Te 0.223 0.446 0.038
S5 S 0.726 0.452 0.163
S6 S 0.500 0.001 0.784
Sn2 Sn 0.437 0.874 0.428
S7 S 0.688 0.377 0.896
S8 S 0.500 0.999 0.284
S9 S 0.341 0.682 0.997
K4 K 0.894 0.789 0.168
S10 S 0.043 0.085 0.035

=====

(2)
# Mo2P2C, optimized geometry, DFT PBE
# ΔE to the lowest computed polymorph, meV/atom: 353
# Magnetic moment, μB/f.u.: 0.0
# Symmetry: No. 139
# Calculated formation energy, eV/f.u.: 3.4
data_Mo2P2C
_chemical_formula_sum 'Mo2 P2 C1'
_cell_length_a 3.203
_cell_length_b 3.203
_cell_length_c 6.700
_cell_angle_alpha 76.17
_cell_angle_beta 76.17
_cell_angle_gamma 90.00
_space_group_name_H-M_alt 'P 1'
_space_group_IT_number 1
_space_group_name_Hall 'P 1'
loop_
_atom_site_label
_atom_site_type_symbol
_atom_site_fract_x
_atom_site_fract_y
_atom_site_fract_z
C1 C 0.000 0.000 0.000
Mo1 Mo 0.605 0.605 0.790
P1 P 0.750 0.250 0.500
Mo2 Mo 0.395 0.395 0.210
P2 P 0.250 0.750 0.500

=====

(3)
# Ir6RuW, optimized geometry, DFT PBE
# Magnetic moment, μB/f.u.: 0.0
# Symmetry: No. 123
# Calculated formation energy, eV/f.u.: -1.1
data_Ir6RuW
_chemical_formula_sum 'Ir6 Ru1 W1'
_cell_length_a 3.875
_cell_length_b 5.488
_cell_length_c 5.488
_cell_angle_alpha 90.00
_cell_angle_beta 90.00
_cell_angle_gamma 90.00
_space_group_name_H-M_alt 'P 1'
_space_group_IT_number 1
_space_group_name_Hall 'P 1'
loop_
_atom_site_label
_atom_site_type_symbol
_atom_site_fract_x
_atom_site_fract_y
_atom_site_fract_z
W1 W 0.500 0.000 0.000
Ir1 Ir 0.000 0.250 0.250
Ir2 Ir 0.500 0.500 0.000
Ru1 Ru 0.500 0.500 0.500
Ir3 Ir 0.000 0.750 0.750
Ir4 Ir 0.500 0.000 0.500
Ir5 Ir 0.000 0.750 0.250
Ir6 Ir 0.000 0.250 0.750

=====

(4)
# La4SiIrI2, optimized geometry, DFT PBE
# Magnetic moment, μB/f.u.: 0.0
# Symmetry: No. 10
# Total DFT energy (no corrections), eV per cell: -45.166
data_La4SiIrI2
_chemical_formula_sum 'La4 Si1 Ir1 I2'
_cell_length_a 4.301
_cell_length_b 7.717
_cell_length_c 8.347
_cell_angle_alpha 106.29
_cell_angle_beta 90.00
_cell_angle_gamma 90.00
_space_group_name_H-M_alt 'P 1'
_space_group_IT_number 1
_space_group_name_Hall 'P 1'
loop_
_atom_site_label
_atom_site_type_symbol
_atom_site_fract_x
_atom_site_fract_y
_atom_site_fract_z
La1 La 0.500 0.779 0.810
La2 La 0.000 0.747 0.190
I1 I 0.500 0.000 0.500
Ir1 Ir 0.000 0.000 0.000
Si1 Si 0.500 0.500 0.000
I2 I 0.000 0.500 0.500
La3 La 0.000 0.253 0.810
La4 La 0.500 0.221 0.190

=====

(5)
# BaSi3Pt5, optimized geometry, DFT PBE
# Magnetic moment, μB/f.u.: 0.0
# Symmetry: No. 63
# Total DFT energy (no corrections), eV per cell: -111.690
data_BaSi3Pt5
_chemical_formula_sum 'Ba2 Si6 Pt10'
_cell_length_a 4.009
_cell_length_b 6.662
_cell_length_c 12.855
_cell_angle_alpha 90.00
_cell_angle_beta 90.00
_cell_angle_gamma 107.51
_space_group_name_H-M_alt 'P 1'
_space_group_IT_number 1
_space_group_name_Hall 'P 1'
loop_
_atom_site_label
_atom_site_type_symbol
_atom_site_fract_x
_atom_site_fract_y
_atom_site_fract_z
Ba1 Ba 0.157 0.315 0.250
Si1 Si 0.114 0.228 0.750
Pt1 Pt 0.794 0.587 0.073
Si2 Si 0.386 0.771 0.964
Pt2 Pt 0.554 0.107 0.644
Si3 Si 0.614 0.229 0.464
Pt3 Pt 0.206 0.413 0.573
Pt4 Pt 0.554 0.107 0.856
Pt5 Pt 0.446 0.893 0.356
Si4 Si 0.386 0.771 0.536
Pt6 Pt 0.000 0.000 0.500
Si5 Si 0.886 0.772 0.250
Pt7 Pt 0.446 0.893 0.144
Pt8 Pt 0.000 0.000 0.000
Ba2 Ba 0.843 0.685 0.750
Si6 Si 0.614 0.229 0.036
Pt9 Pt 0.794 0.587 0.427
Pt10 Pt 0.206 0.413 0.927

=====

(6)
# CoSiAg2, optimized geometry, DFT PBE
# Magnetic moment, μB/f.u.: 0.0
# Symmetry: No. 6
# Total DFT energy (no corrections), eV per cell: -18.094
data_CoSiAg2
_chemical_formula_sum 'Co1 Si1 Ag2'
_cell_length_a 3.340
_cell_length_b 2.765
_cell_length_c 6.726
_cell_angle_alpha 78.14
_cell_angle_beta 90.00
_cell_angle_gamma 90.00
_space_group_name_H-M_alt 'P 1'
_space_group_IT_number 1
_space_group_name_Hall 'P 1'
loop_
_atom_site_label
_atom_site_type_symbol
_atom_site_fract_x
_atom_site_fract_y
_atom_site_fract_z
Ag1 Ag 0.500 0.176 0.275
Si1 Si 0.500 0.973 0.677
Co1 Co 0.000 0.527 0.570
Ag2 Ag 0.000 0.824 0.978

=====

(7)
# Pr4AlAg2, optimized geometry, DFT PBE
# ΔE to the lowest computed polymorph, meV/atom: 110
# Magnetic moment, μB/f.u.: 0.0
# Symmetry: No. 70
# Calculated formation energy, eV/f.u.: -0.2
data_Pr4AlAg2
_chemical_formula_sum 'Pr8 Al2 Ag4'
_cell_length_a 8.000
_cell_length_b 7.999
_cell_length_c 8.718
_cell_angle_alpha 108.04
_cell_angle_beta 108.05
_cell_angle_gamma 108.97
_space_group_name_H-M_alt 'P 1'
_space_group_IT_number 1
_space_group_name_Hall 'P 1'
loop_
_atom_site_label
_atom_site_type_symbol
_atom_site_fract_x
_atom_site_fract_y
_atom_site_fract_z
Pr1 Pr 0.882 0.671 0.161
Ag1 Ag 0.625 0.875 0.250
Al1 Al 0.250 0.750 0.500
Pr2 Pr 0.510 0.721 0.839
Pr3 Pr 0.971 0.260 0.339
Ag2 Ag 0.125 0.375 0.750
Pr4 Pr 0.368 0.079 0.339
Ag3 Ag 0.625 0.375 0.250
Pr5 Pr 0.740 0.029 0.661
Ag4 Ag 0.625 0.375 0.750
Pr6 Pr 0.921 0.632 0.661
Pr7 Pr 0.279 0.490 0.161
Al2 Al 0.000 0.000 0.000
Pr8 Pr 0.329 0.118 0.839

=====

(8)
# ZrAg2W, optimized geometry, DFT PBE
# Magnetic moment, μB/f.u.: 1.4
# Symmetry: No. 119
# Calculated formation energy, eV/f.u.: 2.1
data_ZrAg2W
_chemical_formula_sum 'Zr1 Ag2 W1'
_cell_length_a 5.170
_cell_length_b 5.170
_cell_length_c 5.170
_cell_angle_alpha 132.52
_cell_angle_beta 132.52
_cell_angle_gamma 69.41
_space_group_name_H-M_alt 'P 1'
_space_group_IT_number 1
_space_group_name_Hall 'P 1'
loop_
_atom_site_label
_atom_site_type_symbol
_atom_site_fract_x
_atom_site_fract_y
_atom_site_fract_z
Ag1 Ag 0.000 0.000 0.000
Ag2 Ag 0.250 0.750 0.500
Zr1 Zr 0.750 0.250 0.500
W1 W 0.500 0.500 0.000

=====

(9)
# Ho6Ag2Pd, optimized geometry, DFT PBE
# ΔE to the lowest computed polymorph, meV/atom: 148
# Magnetic moment, μB/f.u.: 0.0
# Symmetry: No. 71
# Calculated formation energy, eV/f.u.: -1.2
data_Ho6Ag2Pd
_chemical_formula_sum 'Ho6 Ag2 Pd1'
_cell_length_a 4.986
_cell_length_b 7.006
_cell_length_c 8.548
_cell_angle_alpha 114.19
_cell_angle_beta 107.00
_cell_angle_gamma 90.00
_space_group_name_H-M_alt 'P 1'
_space_group_IT_number 1
_space_group_name_Hall 'P 1'
loop_
_atom_site_label
_atom_site_type_symbol
_atom_site_fract_x
_atom_site_fract_y
_atom_site_fract_z
Pd1 Pd 0.000 0.000 0.000
Ag1 Ag 0.333 0.333 0.667
Ho1 Ho 0.162 0.916 0.325
Ho2 Ho 0.162 0.409 0.325
Ho3 Ho 0.838 0.591 0.675
Ag2 Ag 0.667 0.667 0.333
Ho4 Ho 0.500 0.242 0.000
Ho5 Ho 0.500 0.758 0.000
Ho6 Ho 0.838 0.084 0.675

=====

(10)
# BeIn2Sn, optimized geometry, DFT PBE
# ΔE to the lowest computed polymorph, meV/atom: 0
# Magnetic moment, μB/f.u.: 0.0
# Symmetry: No. 122
# Calculated formation energy, eV/f.u.: 1.3
data_BeIn2Sn
_chemical_formula_sum 'Be2 In4 Sn2'
_cell_length_a 8.781
_cell_length_b 8.781
_cell_length_c 6.694
_cell_angle_alpha 49.02
_cell_angle_beta 49.02
_cell_angle_gamma 90.00
_space_group_name_H-M_alt 'P 1'
_space_group_IT_number 1
_space_group_name_Hall 'P 1'
loop_
_atom_site_label
_atom_site_type_symbol
_atom_site_fract_x
_atom_site_fract_y
_atom_site_fract_z
In1 In 0.525 0.125 0.250
In2 In 0.875 0.775 0.750
Be1 Be 0.250 0.750 0.500
Sn1 Sn 0.000 0.000 0.000
In3 In 0.375 0.475 0.750
In4 In 0.225 0.625 0.250
Sn2 Sn 0.750 0.250 0.500
Be2 Be 0.500 0.500 0.000

=====

(11)
# MnSb, optimized geometry, DFT PBE
# Magnetic moment, μB/f.u.: 0.7
# Symmetry: No. 70
# Total DFT energy (no corrections), eV per cell: -197.722
data_MnSb
_chemical_formula_sum 'Mn16 Sb16'
_cell_length_a 8.548
_cell_length_b 9.258
_cell_length_c 8.335
_cell_angle_alpha 90.00
_cell_angle_beta 90.00
_cell_angle_gamma 90.00
_space_group_name_H-M_alt 'P 1'
_space_group_IT_number 1
_space_group_name_Hall 'P 1'
loop_
_atom_site_label
_atom_site_type_symbol
_atom_site_fract_x
_atom_site_fract_y
_atom_site_fract_z
Sb1 Sb 0.250 0.250 0.951
Sb2 Sb 0.000 0.000 0.201
Mn1 Mn 0.000 0.892 0.500
Mn2 Mn 0.500 0.608 0.500
Sb3 Sb 0.750 0.750 0.951
Mn3 Mn 0.750 0.358 0.750
Mn4 Mn 0.250 0.642 0.750
Mn5 Mn 0.500 0.392 0.500
Mn6 Mn 0.750 0.642 0.250
Sb4 Sb 0.000 0.000 0.799
Sb5 Sb 0.250 0.750 0.049
Sb6 Sb 0.500 0.000 0.299
Mn7 Mn 0.000 0.608 0.000
Sb7 Sb 0.250 0.250 0.549
Sb8 Sb 0.500 0.500 0.201
Mn8 Mn 0.750 0.142 0.750
Mn9 Mn 0.250 0.858 0.750
Mn10 Mn 0.000 0.108 0.500
Sb9 Sb 0.750 0.250 0.451
Mn11 Mn 0.000 0.392 0.000
Mn12 Mn 0.250 0.358 0.250
Sb10 Sb 0.500 0.000 0.701
Mn13 Mn 0.250 0.142 0.250
Mn14 Mn 0.750 0.858 0.250
Sb11 Sb 0.500 0.500 0.799
Sb12 Sb 0.750 0.250 0.049
Sb13 Sb 0.000 0.500 0.299
Sb14 Sb 0.750 0.750 0.549
Sb15 Sb 0.000 0.500 0.701
Sb16 Sb 0.250 0.750 0.451
Mn15 Mn 0.500 0.108 0.000
Mn16 Mn 0.500 0.892 0.000

=====

(12)
# KRbGaMo2, optimized geometry, DFT PBE
# Magnetic moment, μB/f.u.: 7.2
# Symmetry: No. 123
# Calculated formation energy, eV/f.u.: 6.9
data_KRbGaMo2
_chemical_formula_sum 'K1 Rb1 Ga1 Mo2'
_cell_length_a 5.141
_cell_length_b 6.234
_cell_length_c 5.141
_cell_angle_alpha 90.00
_cell_angle_beta 90.00
_cell_angle_gamma 90.00
_space_group_name_H-M_alt 'P 1'
_space_group_IT_number 1
_space_group_name_Hall 'P 1'
loop_
_atom_site_label
_atom_site_type_symbol
_atom_site_fract_x
_atom_site_fract_y
_atom_site_fract_z
K1 K 0.000 0.500 0.000
Mo1 Mo 0.000 0.000 0.500
Mo2 Mo 0.500 0.000 0.000
Ga1 Ga 0.000 0.000 0.000
Rb1 Rb 0.500 0.500 0.500

=====

(13)
# EuInGa, optimized geometry, DFT PBE
# ΔE to the lowest computed polymorph, meV/atom: 122
# Magnetic moment, μB/f.u.: 7.1
# Symmetry: No. 107
# Calculated formation energy, eV/f.u.: -1.0
data_EuInGa
_chemical_formula_sum 'Eu1 In1 Ga1'
_cell_length_a 3.557
_cell_length_b 3.557
_cell_length_c 6.618
_cell_angle_alpha 105.59
_cell_angle_beta 105.59
_cell_angle_gamma 90.00
_space_group_name_H-M_alt 'P 1'
_space_group_IT_number 1
_space_group_name_Hall 'P 1'
loop_
_atom_site_label
_atom_site_type_symbol
_atom_site_fract_x
_atom_site_fract_y
_atom_site_fract_z
Eu1 Eu 0.942 0.942 0.884
In1 In 0.636 0.636 0.271
Ga1 Ga 0.272 0.272 0.545

=====

(14)
# EuHoTm2, optimized geometry, DFT PBE
# ΔE to the lowest computed polymorph, meV/atom: 35
# Magnetic moment, μB/f.u.: 7.2
# Symmetry: No. 123
# Calculated formation energy, eV/f.u.: 0.4
data_EuHoTm2
_chemical_formula_sum 'Eu1 Ho1 Tm2'
_cell_length_a 5.024
_cell_length_b 5.045
_cell_length_c 5.045
_cell_angle_alpha 90.00
_cell_angle_beta 90.00
_cell_angle_gamma 90.00
_space_group_name_H-M_alt 'P 1'
_space_group_IT_number 1
_space_group_name_Hall 'P 1'
loop_
_atom_site_label
_atom_site_type_symbol
_atom_site_fract_x
_atom_site_fract_y
_atom_site_fract_z
Tm1 Tm 0.000 0.000 0.500
Ho1 Ho 0.500 0.000 0.000
Eu1 Eu 0.500 0.500 0.500
Tm2 Tm 0.000 0.500 0.000

=====

(15)
# BaY2ScRh, optimized geometry, DFT PBE
# ΔE to the lowest computed polymorph, meV/atom: 0
# Magnetic moment, μB/f.u.: 0.0
# Symmetry: No. 123
# Calculated formation energy, eV/f.u.: -1.3
data_BaY2ScRh
_chemical_formula_sum 'Ba1 Y2 Sc1 Rh1'
_cell_length_a 5.542
_cell_length_b 5.542
_cell_length_c 5.261
_cell_angle_alpha 90.00
_cell_angle_beta 90.00
_cell_angle_gamma 90.00
_space_group_name_H-M_alt 'P 1'
_space_group_IT_number 1
_space_group_name_Hall 'P 1'
loop_
_atom_site_label
_atom_site_type_symbol
_atom_site_fract_x
_atom_site_fract_y
_atom_site_fract_z
Rh1 Rh 0.000 0.000 0.000
Sc1 Sc 0.000 0.000 0.500
Ba1 Ba 0.500 0.500 0.500
Y1 Y 0.500 0.000 0.000
Y2 Y 0.000 0.500 0.000

=====

(16)
# V2PbCl, optimized geometry, DFT PBE
# ΔE to the lowest computed polymorph, meV/atom: 0
# Magnetic moment, μB/f.u.: 2.5
# Symmetry: No. 122
data_V2PbCl
_chemical_formula_sum 'V4 Pb2 Cl2'
_cell_length_a 4.724
_cell_length_b 4.724
_cell_length_c 8.475
_cell_angle_alpha 73.82
_cell_angle_beta 73.82
_cell_angle_gamma 90.00
_space_group_name_H-M_alt 'P 1'
_space_group_IT_number 1
_space_group_name_Hall 'P 1'
loop_
_atom_site_label
_atom_site_type_symbol
_atom_site_fract_x
_atom_site_fract_y
_atom_site_fract_z
Pb1 Pb 0.750 0.250 0.500
V1 V 0.451 0.125 0.250
Cl1 Cl 0.500 0.500 0.000
V2 V 0.875 0.701 0.750
Cl2 Cl 0.250 0.750 0.500
Pb2 Pb 0.000 0.000 0.000
V3 V 0.375 0.549 0.750
V4 V 0.299 0.625 0.250

=====

(17)
# Tb5NdMg3, optimized geometry, DFT PBE
# Magnetic moment, μB/f.u.: 0.0
# Symmetry: No. 12
# Calculated formation energy, eV/f.u.: 3.6
data_Tb5NdMg3
_chemical_formula_sum 'Tb10 Nd2 Mg6'
_cell_length_a 7.868
_cell_length_b 7.868
_cell_length_c 10.785
_cell_angle_alpha 83.32
_cell_angle_beta 83.32
_cell_angle_gamma 64.15
_space_group_name_H-M_alt 'P 1'
_space_group_IT_number 1
_space_group_name_Hall 'P 1'
loop_
_atom_site_label
_atom_site_type_symbol
_atom_site_fract_x
_atom_site_fract_y
_atom_site_fract_z
Mg1 Mg 0.286 0.286 0.486
Tb1 Tb 0.522 0.522 0.348
Mg2 Mg 0.654 0.654 0.793
Tb2 Tb 0.341 0.955 0.260
Mg3 Mg 0.346 0.346 0.207
Tb3 Tb 0.955 0.341 0.260
Tb4 Tb 0.659 0.045 0.740
Nd1 Nd 0.886 0.886 0.268
Tb5 Tb 0.327 0.673 0.000
Mg4 Mg 0.000 0.000 0.500
Tb6 Tb 0.478 0.478 0.652
Tb7 Tb 0.750 0.750 0.035
Tb8 Tb 0.045 0.659 0.740
Mg5 Mg 0.000 0.000 0.000
Tb9 Tb 0.250 0.250 0.965
Tb10 Tb 0.673 0.327 0.000
Nd2 Nd 0.114 0.114 0.732
Mg6 Mg 0.714 0.714 0.514

=====

(18)
# K3Pu3SnS8, optimized geometry, DFT PBE
# Magnetic moment, μB/f.u.: 4.7
# Symmetry: No. 12
# Total DFT energy (no corrections), eV per cell: -103.220
data_K3Pu3SnS8
_chemical_formula_sum 'K3 Pu3 Sn1 S8'
_cell_length_a 8.157
_cell_length_b 8.176
_cell_length_c 8.742
_cell_angle_alpha 117.79
_cell_angle_beta 90.01
_cell_angle_gamma 119.92
_space_group_name_H-M_alt 'P 1'
_space_group_IT_number 1
_space_group_name_Hall 'P 1'
loop_
_atom_site_label
_atom_site_type_symbol
_atom_site_fract_x
_atom_site_fract_y
_atom_site_fract_z
K1 K 0.500 0.500 0.000
Sn1 Sn 0.000 0.000 0.500
Pu1 Pu 0.500 0.000 0.500
S1 S 0.732 0.963 0.693
S2 S 0.268 0.037 0.307
S3 S 0.768 0.037 0.307
S4 S 0.734 0.468 0.700
Pu2 Pu 0.000 0.500 0.500
S5 S 0.231 0.463 0.692
K2 K 0.000 0.000 0.000
Pu3 Pu 0.500 0.500 0.500
S6 S 0.266 0.532 0.300
K3 K 0.000 0.500 0.000
S7 S 0.769 0.537 0.308
S8 S 0.232 0.963 0.693